Lu2MoO6: relaxed, PBE with a Hubbard U.

Output
- DOS(E_F) (states/eV per cell) = 0.00
- VASP energy (eV/atom) = -7.90
- spin magnetization (μB per cell) = 0.00
- space group = C2/c

Lattice parameters (Å, degrees): 9.779 9.779 5.287 105.10 105.10 67.86
Atoms (fractional coordinates):
Lu  0.051  0.282  0.875
Lu  0.104  0.896  0.750
Lu  0.282  0.051  0.375
Lu  0.362  0.638  0.250
Lu  0.638  0.362  0.750
Lu  0.718  0.949  0.625
Lu  0.896  0.104  0.250
Lu  0.949  0.718  0.125
Mo  0.204  0.487  0.563
Mo  0.487  0.204  0.063
Mo  0.513  0.796  0.937
Mo  0.796  0.513  0.437
O  0.065  0.476  0.251
O  0.071  0.110  0.077
O  0.110  0.071  0.577
O  0.161  0.696  0.421
O  0.175  0.615  0.883
O  0.211  0.311  0.636
O  0.304  0.839  0.079
O  0.311  0.211  0.136
O  0.385  0.825  0.617
O  0.392  0.452  0.513
O  0.452  0.392  0.013
O  0.476  0.065  0.751
O  0.524  0.935  0.249
O  0.548  0.608  0.987
O  0.608  0.548  0.487
O  0.615  0.175  0.383
O  0.689  0.789  0.864
O  0.696  0.161  0.921
O  0.789  0.689  0.364
O  0.825  0.385  0.117
O  0.839  0.304  0.579
O  0.890  0.929  0.423
O  0.929  0.890  0.923
O  0.935  0.524  0.749